1.
This record from Alexandria describes a relaxed structure of Nd2PI2. The functional is PBE-GGA.

a = 11.9099 Å, b = 11.9099 Å, c = 11.9099 Å
α = 20.54°, β = 20.54°, γ = 20.54°
With the nearest neighbours (Å) after each atom.
Element x y z (fractional)
Nd: 0.1220 0.1220 0.1220  3 P 2.91, 3 I 3.24
Nd: 0.8780 0.8780 0.8780  3 P 2.91, 3 I 3.24
P: 0.5000 0.5000 0.5000  6 Nd 2.91
I: 0.2718 0.2718 0.2718  3 Nd 3.24
I: 0.7282 0.7282 0.7282  3 Nd 3.24

Results
* magnetic moment: 0.0 μB per formula unit
* raw total energy: -0.1891 Ha/atom
* Fermi-level density of states: 1.6 states/eV/cell
* calculated volume: 182.0 Å³/cell


2.
This record from Alexandria describes a relaxed structure of Nd4PI5. The functional is PBE-GGA.

a = 9.9959 Å, b = 9.9959 Å, c = 9.0115 Å
α = 102.47°, β = 102.47°, γ = 24.56°
With the nearest neighbours (Å) after each atom.
Element x y z (fractional)
Nd: 0.0008 0.0008 0.2917  2 P 2.84
Nd: 0.3558 0.3558 0.4278  1 P 2.75
Nd: 0.6442 0.6442 0.5722  1 P 2.75
Nd: 0.9992 0.9992 0.7083  2 P 2.84
P: 0.5000 0.5000 0.5000  6 Nd 2.75-2.84
I: 0.1656 0.1656 0.8402  3 Nd 3.17-3.20
I: 0.1714 0.1714 0.3233  4 Nd 3.22-3.52
I: 0.5000 0.5000 0.0000  4 Nd 3.38
I: 0.8286 0.8286 0.6767  4 Nd 3.22-3.52
I: 0.8344 0.8344 0.1598  3 Nd 3.17-3.20

Results
* magnetic moment: 0.0 μB per formula unit
* raw total energy: -0.1699 Ha/atom
* Fermi-level density of states: 3.1 states/eV/cell
* calculated volume: 365.0 Å³/cell


3.
This record from Alexandria describes a relaxed structure of Nd4P2I5. The functional is PBE-GGA.

a = 11.5279 Å, b = 11.5279 Å, c = 8.7642 Å
α = 93.62°, β = 93.62°, γ = 20.65°
With the nearest neighbours (Å) after each atom.
Element x y z (fractional)
Nd: 0.0193 0.0193 0.2029  4 P 2.90-3.02, 1 I 3.21
Nd: 0.3361 0.3361 0.9243  1 P 2.76
Nd: 0.6639 0.6639 0.0757  1 P 2.76
Nd: 0.9807 0.9807 0.7971  4 P 2.90-3.02, 1 I 3.21
P: 0.4531 0.4531 0.0340  1 P 2.25
P: 0.5469 0.5469 0.9660  1 P 2.25
I: 0.1532 0.1532 0.3467  3 Nd 3.17-3.21
I: 0.1948 0.1948 0.8141  3 Nd 3.20-3.29
I: 0.5000 0.5000 0.5000  4 Nd 3.37
I: 0.8052 0.8052 0.1859  3 Nd 3.20-3.29
I: 0.8468 0.8468 0.6533  3 Nd 3.17-3.21

Results
* magnetic moment: 0.0 μB per formula unit
* raw total energy: -0.1715 Ha/atom
* Fermi-level density of states: 7.5 states/eV/cell
* calculated volume: 410.0 Å³/cell